## Sr2TiPd (PBE)

Data for a relaxed Sr2TiPd crystal.

Cell and atoms, written as CIF:
```
data_Sr2TiPd
_chemical_formula_sum 'Sr8 Ti4 Pd4'
_cell_length_a 11.285
_cell_length_b 11.285
_cell_length_c 4.926
_cell_angle_alpha 90.00
_cell_angle_beta 90.00
_cell_angle_gamma 90.00
_space_group_name_H-M_alt 'I -4 2 d'
_space_group_IT_number 122
_space_group_name_Hall 'I -4 2bw'
loop_
_atom_site_label
_atom_site_fract_x
_atom_site_fract_y
_atom_site_fract_z
Sr1 0.093 0.250 0.125
Ti1 0.000 0.000 0.500
Pd1 0.000 0.000 0.000
```

Calculated values
uncorrected energy: -3.889 eV/atom
DOS(E_F): 5.0 states/eV/f.u.
formation energy from the elements: 0.22 eV/atom